14
Lattice="-4.4012 -1.1737 -3.5847 5.0805 -0.0454 -2.7901 0.4179 -6.2477 3.8846" Properties=species:S:1:pos:R:3 comment="MgRhF5, optimized geometry, DFT PBE" dft_energy_ev_per_atom=-4.920 crystal_system=monoclinic sg="C2/c (15)" formation_energy_uncorrected_ev_per_atom=-2.31 m_tot_mub_per_atom=0.00 pbc="T T T"
Rh 0.0000 0.0000 0.0000
Rh 0.2090 -3.1238 1.9423
F 3.4517 -2.3981 -0.6150
F -2.3545 -5.0687 -1.8751
F 0.0564 -6.8734 -0.8756
F 1.0408 -0.5934 -1.6146
F -2.4398 -6.2479 0.8160
F 1.4826 -3.5550 -2.6808
F -3.4889 -2.6395 -2.5458
F 3.5370 -1.2190 -3.3062
F -0.3854 -3.9118 0.1907
F 4.5861 -4.8273 0.0557
Mg 2.2962 -1.9511 -2.0610
Mg -1.1990 -5.5157 -0.4291